(1)
Compound: Ta2VHg2
Source: Alexandria via LeMat-Bulk
Functional: PBE
Structure: relaxed

Results
E_tot, eV for the cell shown: -59.61
Excess energy over the best structure of this formula in the dataset, meV/atom: 0
M_tot, μB/cell: 3.34
E_form, meV per atom: 725

Cell lengths 7.116, 7.116, 3.801 Å; angles 90.00, 90.00, 90.00 degrees
Positions (direct):
Ta 0.166 0.334 0.000
Ta 0.334 0.834 0.000
Ta 0.666 0.166 0.000
Ta 0.834 0.666 0.000
V 0.000 0.000 0.500
V 0.500 0.500 0.500
Hg 0.139 0.639 0.500
Hg 0.361 0.139 0.500
Hg 0.639 0.861 0.500
Hg 0.861 0.361 0.500

---

(2)
Compound: Ti4FePt5
Source: Alexandria via LeMat-Bulk
Functional: PBE
Structure: relaxed

Results
E_tot, eV for the cell shown: -77.91
M_tot, μB/cell: 2.19
E_form, meV per atom: -767

Cell lengths 3.358, 3.358, 13.817 Å; angles 90.00, 90.00, 90.00 degrees
Positions (direct):
Ti 0.000 0.000 0.102
Ti 0.000 0.000 0.313
Ti 0.000 0.000 0.687
Ti 0.000 0.000 0.898
Fe 0.000 0.000 0.500
Pt 0.500 0.500 0.000
Pt 0.500 0.500 0.201
Pt 0.500 0.500 0.403
Pt 0.500 0.500 0.597
Pt 0.500 0.500 0.799